i | ## SrWCl (GGA-PBEsol)

Data for SrWCl after structural relaxation.

Total magnetic moment = 0.0 Bohr magnetons per cell
Theoretical density = 8.4 g/cm3

Unit cell a=6.9145 b=6.9145 c=6.9145 alpha=154.57 beta=154.57 gamma=36.27
Last column: nearest neighbours and their distance in Å.
Fractional coordinates of all 3 atoms:
Sr  0.0000  0.0000  0.0000  4 Sr 3.04, 4 Cl 3.05, 4 W 3.25
W  0.3146  0.3146  0.0000  4 Cl 2.92, 4 W 3.04, 4 Sr 3.25
Cl  0.6644  0.6644  0.0000  4 W 2.92, 4 Cl 3.04, 4 Sr 3.05

ii | ## SrWCl (GGA-PBEsol)

Data for SrWCl after structural relaxation.

Total magnetic moment = 0.0 Bohr magnetons per cell
Theoretical density = 8.3 g/cm3

Unit cell a=3.1692 b=3.1692 c=7.0310 alpha=90.00 beta=90.00 gamma=120.00
Last column: nearest neighbours and their distance in Å.
Fractional coordinates of all 3 atoms:
Sr  0.0000  0.0000  0.0000  3 Cl 3.16, 3 W 3.16, 6 Sr 3.17
W  0.3333  0.6667  0.6328  3 Cl 2.62
Cl  0.6667  0.3333  0.3668  3 W 2.62

Verdict on stability: i comes out on top.

i | ## Ta2Cl (GGA-PBEsol)

Data for Ta2Cl after structural relaxation.

Total magnetic moment = 0.0 Bohr magnetons per cell
Theoretical density = 13.0 g/cm3

Unit cell a=4.8577 b=5.8807 c=3.5598 alpha=90.00 beta=90.00 gamma=90.00
Last column: nearest neighbours and their distance in Å.
Fractional coordinates of all 6 atoms:
Ta  0.2248  0.1476  0.0000  3 Cl 2.34-2.39
Ta  0.2752  0.6476  0.5000  3 Cl 2.34-2.39
Ta  0.7248  0.3524  0.5000  3 Cl 2.34-2.39
Ta  0.7752  0.8524  0.0000  3 Cl 2.34-2.39
Cl  0.0000  0.5000  0.0000  6 Ta 2.34-2.39
Cl  0.5000  0.0000  0.5000  6 Ta 2.34-2.39

ii | ## Ta2Cl (GGA-PBEsol)

Data for Ta2Cl after structural relaxation.

Total magnetic moment = 0.0 Bohr magnetons per cell
Theoretical density = 12.8 g/cm3

Unit cell a=7.1109 b=7.1109 c=5.4101 alpha=111.29 beta=111.29 gamma=23.93
Last column: nearest neighbours and their distance in Å.
Fractional coordinates of all 6 atoms:
Ta  0.0000  0.0000  0.0000  4 Cl 2.56-2.63
Ta  0.2120  0.2120  0.9784  3 Cl 2.46-2.51
Ta  0.5522  0.5522  0.5624  1 Cl 2.49, 2 Ta 2.72
Ta  0.8750  0.8750  0.4113  3 Cl 2.60-2.82, 2 Ta 2.72
Cl  0.3413  0.3413  0.7677  5 Ta 2.46-2.60
Cl  0.6593  0.6593  0.2829  5 Ta 2.49-2.63

Verdict on stability: ii comes out on top.

i | ## Ta2TcCl (GGA-PBEsol)

Data for Ta2TcCl after structural relaxation.

Total magnetic moment = 0.0 Bohr magnetons per cell
Theoretical density = 12.6 g/cm3

Unit cell a=3.0071 b=4.2661 c=5.1157 alpha=90.00 beta=97.77 gamma=90.00
Last column: nearest neighbours and their distance in Å.
Fractional coordinates of all 4 atoms:
Ta  0.0000  0.0000  0.0000  1 Tc 2.41
Ta  0.5004  0.5000  0.2614  2 Cl 2.59-2.65, 4 Tc 2.78-2.87, 2 Ta 2.84
Tc  0.0768  0.0000  0.4750  1 Ta 2.41, 2 Cl 2.61
Cl  0.3094  0.5000  0.7529  4 Ta 2.59-2.71, 2 Tc 2.61

ii | ## Ta2TcCl (GGA-PBEsol)

Data for Ta2TcCl after structural relaxation.

Total magnetic moment = 0.0 Bohr magnetons per cell
Theoretical density = 13.3 g/cm3

Unit cell a=5.3991 b=5.3991 c=5.3991 alpha=148.25 beta=130.89 gamma=59.67
Last column: nearest neighbours and their distance in Å.
Fractional coordinates of all 4 atoms:
Ta  0.0000  0.0000  0.0000  4 Cl 2.69, 2 Tc 2.86, 2 Ta 2.95
Ta  0.7163  0.2163  0.5000  2 Cl 2.65, 4 Tc 2.72, 2 Ta 2.95
Tc  0.2618  0.7618  0.5000  2 Cl 2.53, 4 Ta 2.72
Cl  0.4817  0.4817  0.0000  2 Tc 2.53, 6 Ta 2.65-2.69

Verdict on stability: i comes out on top.